DFT (GGA-PBE) results for CdRe2Ge2 after structural relaxation.

volume = 16.410 A^3/atom
raw total energy = -66.82 eV for the cell shown
space-group type = P4/mbm (127)

a b c (Å): 7.3431 7.3431 3.0434
angles (deg): 90.00 90.00 90.00
With the nearest neighbours (Å) after each atom.
Atoms (fractional coordinates):
Cd: 0.0000 0.0000 0.0000  4 Re 2.83, 2 Cd 3.04
Cd: 0.5000 0.5000 0.0000  4 Re 2.83, 2 Cd 3.04
Re: 0.1416 0.3584 0.0000  6 Ge 2.63-2.64, 2 Cd 2.83, 1 Re 2.94
Re: 0.3584 0.8584 0.0000  6 Ge 2.63-2.64, 2 Cd 2.83, 1 Re 2.94
Re: 0.6416 0.1416 0.0000  6 Ge 2.63-2.64, 2 Cd 2.83, 1 Re 2.94
Re: 0.8584 0.6416 0.0000  6 Ge 2.63-2.64, 2 Cd 2.83, 1 Re 2.94
Ge: 0.1514 0.6514 0.5000  6 Re 2.63-2.64
Ge: 0.3486 0.1514 0.5000  6 Re 2.63-2.64
Ge: 0.6514 0.8486 0.5000  6 Re 2.63-2.64
Ge: 0.8486 0.3486 0.5000  6 Re 2.63-2.64

DFT (GGA-PBE) results for CdReGe3 after structural relaxation.

volume = 23.345 A^3/atom
relative energy among the computed polymorphs = 0.0000 eV/atom
raw total energy = -25.55 eV for the cell shown
space-group type = Pm-3m (221)

a b c (Å): 4.8872 4.8872 4.8872
angles (deg): 90.00 90.00 90.00
With the nearest neighbours (Å) after each atom.
Atoms (fractional coordinates):
Cd: 0.0000 0.0000 0.0000  12 Ge 3.46
Re: 0.5000 0.5000 0.5000  6 Ge 2.44
Ge: 0.0000 0.5000 0.5000  2 Re 2.44
Ge: 0.5000 0.0000 0.5000  2 Re 2.44
Ge: 0.5000 0.5000 0.0000  2 Re 2.44

DFT (GGA-PBE) results for CdReGe2 after structural relaxation.

volume = 18.927 A^3/atom
raw total energy = -65.59 eV for the cell shown
space-group type = R-3m (166)

a b c (Å): 3.1008 3.1008 27.2769
angles (deg): 90.00 90.00 120.00
With the nearest neighbours (Å) after each atom.
Atoms (fractional coordinates):
Cd: 0.0000 0.0000 0.0000  2 Ge 2.70
Cd: 0.3333 0.6667 0.6667  2 Ge 2.70
Cd: 0.6667 0.3333 0.3333  2 Ge 2.70
Re: 0.0000 0.0000 0.5000  6 Ge 2.57
Re: 0.3333 0.6667 0.1667  6 Ge 2.57
Re: 0.6667 0.3333 0.8333  6 Ge 2.57
Ge: 0.0000 0.0000 0.0992  3 Re 2.57, 1 Cd 2.70
Ge: 0.0000 0.0000 0.9008  3 Re 2.57, 1 Cd 2.70
Ge: 0.3333 0.6667 0.5675  3 Re 2.57, 1 Cd 2.70
Ge: 0.3333 0.6667 0.7658  3 Re 2.57, 1 Cd 2.70
Ge: 0.6667 0.3333 0.2342  3 Re 2.57, 1 Cd 2.70
Ge: 0.6667 0.3333 0.4325  3 Re 2.57, 1 Cd 2.70

DFT (GGA-PBE) results for CdReGe2 after structural relaxation.

volume = 26.159 A^3/atom
raw total energy = -78.36 eV for the cell shown
space-group type = I-42d (122)

a b c (Å): 5.9797 5.9797 11.7053
angles (deg): 90.00 90.00 90.00
With the nearest neighbours (Å) after each atom.
Atoms (fractional coordinates):
Cd: 0.0000 0.0000 0.0000  4 Ge 2.78
Cd: 0.0000 0.5000 0.2500  4 Ge 2.78
Cd: 0.5000 0.0000 0.7500  4 Ge 2.78
Cd: 0.5000 0.5000 0.5000  4 Ge 2.78
Re: 0.0000 0.0000 0.5000  4 Ge 2.39
Re: 0.0000 0.5000 0.7500  4 Ge 2.39
Re: 0.5000 0.0000 0.2500  4 Ge 2.39
Re: 0.5000 0.5000 0.0000  4 Ge 2.39
Ge: 0.1931 0.2500 0.6250  2 Re 2.39
Ge: 0.2500 0.6931 0.8750  2 Re 2.39
Ge: 0.2500 0.8069 0.3750  2 Re 2.39
Ge: 0.3069 0.2500 0.1250  2 Re 2.39
Ge: 0.6931 0.7500 0.1250  2 Re 2.39
Ge: 0.7500 0.1931 0.3750  2 Re 2.39
Ge: 0.7500 0.3069 0.8750  2 Re 2.39
Ge: 0.8069 0.7500 0.6250  2 Re 2.39

Please write out number 4 again, unchanged.
DFT (GGA-PBE) results for CdReGe2 after structural relaxation.

volume = 26.159 A^3/atom
raw total energy = -78.36 eV for the cell shown
space-group type = I-42d (122)

a b c (Å): 5.9797 5.9797 11.7053
angles (deg): 90.00 90.00 90.00
With the nearest neighbours (Å) after each atom.
Atoms (fractional coordinates):
Cd: 0.0000 0.0000 0.0000  4 Ge 2.78
Cd: 0.0000 0.5000 0.2500  4 Ge 2.78
Cd: 0.5000 0.0000 0.7500  4 Ge 2.78
Cd: 0.5000 0.5000 0.5000  4 Ge 2.78
Re: 0.0000 0.0000 0.5000  4 Ge 2.39
Re: 0.0000 0.5000 0.7500  4 Ge 2.39
Re: 0.5000 0.0000 0.2500  4 Ge 2.39
Re: 0.5000 0.5000 0.0000  4 Ge 2.39
Ge: 0.1931 0.2500 0.6250  2 Re 2.39
Ge: 0.2500 0.6931 0.8750  2 Re 2.39
Ge: 0.2500 0.8069 0.3750  2 Re 2.39
Ge: 0.3069 0.2500 0.1250  2 Re 2.39
Ge: 0.6931 0.7500 0.1250  2 Re 2.39
Ge: 0.7500 0.1931 0.3750  2 Re 2.39
Ge: 0.7500 0.3069 0.8750  2 Re 2.39
Ge: 0.8069 0.7500 0.6250  2 Re 2.39

> Number 3 is which compound?

CdReGe2

> What is the volume in the first record?

16.410 A^3/atom